Compound: RbTe2W
Source: Alexandria via LeMat-Bulk
Functional: PBE
Structure: relaxed

Cell lengths 7.364, 7.364, 7.364 Å; angles 90.00, 90.00, 90.00 degrees
Space group Fm-3m (No. 225)
Asymmetric unit:
Rb: 0.000 0.000 0.000 (multiplicity 4)
Te: 0.250 0.250 0.250 (multiplicity 8)
W: 0.000 0.000 0.500 (multiplicity 4)

## Properties
Formation energy from raw total energies   0.704 eV per atom
Density of states at the Fermi level   1.397 states/eV/atom
Distance to the lowest polymorph of the same formula   0.534 eV per atom